# 1
Material: SrMgFe2
Method: DFT, PBE
State: relaxed

abc: 8.4538 4.0811 6.0037
angles: 90.00 114.93 90.00
Fractional positions:
Sr: 0.0000 0.0000 0.0000
Sr: 0.5000 0.5000 0.0000
Mg: 0.0000 0.5000 0.5000
Mg: 0.5000 0.0000 0.5000
Fe: 0.2170 0.0000 0.5810
Fe: 0.2830 0.5000 0.4190
Fe: 0.7170 0.5000 0.5810
Fe: 0.7830 0.0000 0.4190

Computed properties:
Crystal system: monoclinic
Raw total energy, eV/atom: -4.635
Volume, Å³/atom: 23.48
Space-group type: No. 12

# 2
Material: SrMg2Fe
Method: DFT, PBE
State: relaxed

abc: 3.2811 5.3677 11.1423
angles: 90.00 90.00 90.00
Fractional positions:
Sr: 0.0000 0.0000 0.0000
Sr: 0.5000 0.5000 0.5000
Mg: 0.0000 0.5000 0.2026
Mg: 0.0000 0.5000 0.7974
Mg: 0.5000 0.0000 0.2974
Mg: 0.5000 0.0000 0.7026
Fe: 0.0000 0.0000 0.5000
Fe: 0.5000 0.5000 0.0000

Computed properties:
Crystal system: orthorhombic
Raw total energy, eV/atom: -2.991
Volume, Å³/atom: 24.53
Space-group type: No. 71

# 3
Material: SrMg2Fe
Method: DFT, PBE
State: relaxed

abc: 3.4426 3.4426 8.1488
angles: 90.00 90.00 90.00
Fractional positions:
Sr: 0.0000 0.0000 0.0000
Mg: 0.5000 0.5000 0.3224
Mg: 0.5000 0.5000 0.6776
Fe: 0.0000 0.0000 0.5000

Computed properties:
Crystal system: tetragonal
Raw total energy, eV/atom: -3.033
Volume, Å³/atom: 24.14
Space-group type: No. 123

# 4
Material: SrMg2Fe
Method: DFT, PBE
State: relaxed

abc: 7.3445 7.3445 7.3445
angles: 90.00 90.00 90.00
Fractional positions:
Sr: 0.0000 0.0000 0.0000
Sr: 0.0000 0.5000 0.5000
Sr: 0.5000 0.0000 0.5000
Sr: 0.5000 0.5000 0.0000
Mg: 0.0000 0.0000 0.5000
Mg: 0.0000 0.5000 0.0000
Mg: 0.2500 0.2500 0.7500
Mg: 0.2500 0.7500 0.2500
Mg: 0.5000 0.0000 0.0000
Mg: 0.5000 0.5000 0.5000
Mg: 0.7500 0.2500 0.2500
Mg: 0.7500 0.7500 0.7500
Fe: 0.2500 0.2500 0.2500
Fe: 0.2500 0.7500 0.7500
Fe: 0.7500 0.2500 0.7500
Fe: 0.7500 0.7500 0.2500

Computed properties:
Crystal system: cubic
Raw total energy, eV/atom: -2.881
Volume, Å³/atom: 24.76
Space-group type: No. 216

# 5
Material: SrMgFe2
Method: DFT, PBE
State: relaxed

abc: 4.6547 4.6547 18.8560
angles: 90.00 90.00 90.00
Fractional positions:
Sr: 0.0000 0.2500 0.3750
Sr: 0.0000 0.7500 0.6250
Sr: 0.5000 0.2500 0.1250
Sr: 0.5000 0.7500 0.8750
Mg: 0.0000 0.2500 0.8750
Mg: 0.0000 0.7500 0.1250
Mg: 0.5000 0.2500 0.6250
Mg: 0.5000 0.7500 0.3750
Fe: 0.0000 0.0000 0.0000
Fe: 0.0000 0.5000 0.0000
Fe: 0.2500 0.2500 0.7500
Fe: 0.2500 0.7500 0.2500
Fe: 0.5000 0.0000 0.5000
Fe: 0.5000 0.5000 0.5000
Fe: 0.7500 0.2500 0.7500
Fe: 0.7500 0.7500 0.2500

Computed properties:
Crystal system: tetragonal
Raw total energy, eV/atom: -4.342
Volume, Å³/atom: 25.53
Space-group type: No. 141

# 6
Material: SrMgFe2
Method: DFT, PBE
State: relaxed

abc: 4.6281 4.6281 7.7642
angles: 90.00 90.00 90.00
Fractional positions:
Sr: 0.0000 0.0000 0.0000
Sr: 0.5000 0.5000 0.5000
Mg: 0.0000 0.0000 0.5000
Mg: 0.5000 0.5000 0.0000
Fe: 0.0000 0.5000 0.2500
Fe: 0.0000 0.5000 0.7500
Fe: 0.5000 0.0000 0.2500
Fe: 0.5000 0.0000 0.7500

Computed properties:
Crystal system: tetragonal
Raw total energy, eV/atom: -4.302
Volume, Å³/atom: 20.79
Space-group type: No. 139

# 7
Material: SrMg6Fe
Method: DFT, PBE
State: relaxed

abc: 4.6466 6.2548 13.8655
angles: 90.00 90.00 90.00
Fractional positions:
Sr: 0.0000 0.0000 0.0000
Sr: 0.0000 0.5000 0.5000
Mg: 0.0000 0.0000 0.4154
Mg: 0.0000 0.2476 0.2099
Mg: 0.0000 0.2524 0.7099
Mg: 0.0000 0.5000 0.9154
Mg: 0.0000 0.7476 0.7099
Mg: 0.0000 0.7524 0.2099
Mg: 0.5000 0.0000 0.5919
Mg: 0.5000 0.2439 0.8392
Mg: 0.5000 0.2561 0.3392
Mg: 0.5000 0.5000 0.0919
Mg: 0.5000 0.7439 0.3392
Mg: 0.5000 0.7561 0.8392
Fe: 0.5000 0.0000 0.1748
Fe: 0.5000 0.5000 0.6748

Computed properties:
Crystal system: orthorhombic
Raw total energy, eV/atom: -2.244
Volume, Å³/atom: 25.19
Space-group type: No. 38

# 8
Material: SrMg2Fe
Method: DFT, PBE
State: relaxed

abc: 4.7610 4.7610 16.6423
angles: 90.00 90.00 120.00
Fractional positions:
Sr: 0.0000 0.0000 0.0000
Sr: 0.3333 0.6667 0.6667
Sr: 0.6667 0.3333 0.3333
Mg: 0.0000 0.0000 0.5213
Mg: 0.0000 0.0000 0.8000
Mg: 0.3333 0.6667 0.1880
Mg: 0.3333 0.6667 0.4667
Mg: 0.6667 0.3333 0.1334
Mg: 0.6667 0.3333 0.8546
Fe: 0.0000 0.0000 0.1924
Fe: 0.3333 0.6667 0.8590
Fe: 0.6667 0.3333 0.5257

Computed properties:
Crystal system: trigonal
Raw total energy, eV/atom: -2.995
Volume, Å³/atom: 27.22
Space-group type: No. 160